(1)
{"formula": "SnBi7Pb12", "functional": "PBE", "state": "optimized geometry", "space_group": "No. 148", "m_tot_mub_per_cell": 0.00, "total_energy_ev_per_atom": -3.719, "formation_energy_ev_per_atom": 0.06, "volume_a3_per_cell": 659.6, "polymorph_energy_mev_per_atom": 16, "cell": [[7.4769, 4.3168, 3.4060], [-7.4769, 4.3168, 3.4060], [0.0000, -8.6336, 3.4060]], "species": ["Sn", "Bi", "Bi", "Bi", "Bi", "Bi", "Bi", "Bi", "Pb", "Pb", "Pb", "Pb", "Pb", "Pb", "Pb", "Pb", "Pb", "Pb", "Pb", "Pb"], "fractional_positions": [[0.0000, 0.0000, 0.0000], [0.0455, 0.3418, 0.9272], [0.0728, 0.9545, 0.6582], [0.3418, 0.9272, 0.0455], [0.5000, 0.5000, 0.5000], [0.6582, 0.0728, 0.9545], [0.9272, 0.0455, 0.3418], [0.9545, 0.6582, 0.0728], [0.0124, 0.3985, 0.2891], [0.2340, 0.3846, 0.6675], [0.2891, 0.0124, 0.3985], [0.3325, 0.7660, 0.6154], [0.3846, 0.6675, 0.2340], [0.3985, 0.2891, 0.0124], [0.6015, 0.7109, 0.9876], [0.6154, 0.3325, 0.7660], [0.6675, 0.2340, 0.3846], [0.7109, 0.9876, 0.6015], [0.7660, 0.6154, 0.3325], [0.9876, 0.6015, 0.7109]]}

---

(2)
{"formula": "SnBi4Pb5", "functional": "PBE", "state": "optimized geometry", "space_group": "No. 12", "m_tot_mub_per_cell": 0.00, "total_energy_ev_per_atom": -3.719, "formation_energy_ev_per_atom": 0.09, "volume_a3_per_cell": 334.6, "polymorph_energy_mev_per_atom": 46, "cell": [[9.3594, -2.1498, 0.0000], [9.3594, 2.1498, 0.0000], [-3.1505, 0.0000, 8.3149]], "species": ["Sn", "Bi", "Bi", "Bi", "Bi", "Pb", "Pb", "Pb", "Pb", "Pb"], "fractional_positions": [[0.0000, 0.0000, 0.0000], [0.1698, 0.1698, 0.0194], [0.4511, 0.4511, 0.7239], [0.5489, 0.5489, 0.2761], [0.8302, 0.8302, 0.9806], [0.0000, 0.0000, 0.5000], [0.2737, 0.2737, 0.6643], [0.3599, 0.3599, 0.2815], [0.6401, 0.6401, 0.7185], [0.7263, 0.7263, 0.3357]]}

---

(3)
{"formula": "SnBi2Pb2", "functional": "PBE", "state": "optimized geometry", "space_group": "No. 139", "m_tot_mub_per_cell": 0.00, "total_energy_ev_per_atom": -3.669, "formation_energy_ev_per_atom": 0.17, "volume_a3_per_cell": 168.7, "polymorph_energy_mev_per_atom": 105, "cell": [[-2.2433, 2.2433, 8.3800], [2.2433, -2.2433, 8.3800], [2.2433, 2.2433, -8.3800]], "species": ["Sn", "Bi", "Bi", "Pb", "Pb"], "fractional_positions": [[0.0000, 0.0000, 0.0000], [0.4059, 0.4059, 0.0000], [0.5941, 0.5941, 0.0000], [0.2500, 0.7500, 0.5000], [0.7500, 0.2500, 0.5000]]}

---

(4)
{"formula": "Sn4BiPb6", "functional": "PBE", "state": "optimized geometry", "space_group": "No. 121", "m_tot_mub_per_cell": 0.00, "total_energy_ev_per_atom": -3.692, "formation_energy_ev_per_atom": 0.14, "volume_a3_per_cell": 384.4, "cell": [[-3.9708, 3.9708, 6.0949], [3.9708, -3.9708, 6.0949], [3.9708, 3.9708, -6.0949]], "species": ["Sn", "Sn", "Sn", "Sn", "Bi", "Pb", "Pb", "Pb", "Pb", "Pb", "Pb"], "fractional_positions": [[0.1258, 0.1258, 0.5121], [0.3864, 0.8742, 0.0000], [0.6136, 0.6136, 0.4879], [0.8742, 0.3864, 0.0000], [0.5000, 0.5000, 0.0000], [0.0000, 0.5000, 0.5000], [0.0213, 0.7222, 0.0000], [0.2778, 0.2778, 0.2991], [0.5000, 0.0000, 0.5000], [0.7222, 0.0213, 0.0000], [0.9787, 0.9787, 0.7009]]}

---

(5)
{"formula": "Sr3Sn3Bi2Pb", "functional": "PBE", "state": "optimized geometry", "space_group": "No. 189", "m_tot_mub_per_cell": 0.00, "total_energy_ev_per_atom": -3.664, "formation_energy_ev_per_atom": -0.49, "volume_a3_per_cell": 307.5, "cell": [[8.6245, 0.0000, 0.0000], [-4.3122, 7.4690, 0.0000], [0.0000, 0.0000, 4.7731]], "species": ["Sr", "Sr", "Sr", "Sn", "Sn", "Sn", "Bi", "Bi", "Pb"], "fractional_positions": [[0.0000, 0.5961, 0.0000], [0.4039, 0.4039, 0.0000], [0.5961, 0.0000, 0.0000], [0.0000, 0.2536, 0.5000], [0.2536, 0.0000, 0.5000], [0.7464, 0.7464, 0.5000], [0.3333, 0.6667, 0.5000], [0.6667, 0.3333, 0.5000], [0.0000, 0.0000, 0.0000]]}

---

(6)
{"formula": "SrSnBi2Pb2", "functional": "PBE", "state": "optimized geometry", "space_group": "No. 26", "m_tot_mub_per_cell": 0.00, "total_energy_ev_per_atom": -3.687, "formation_energy_ev_per_atom": -0.21, "volume_a3_per_cell": 412.3, "cell": [[4.8819, 0.0000, 0.0000], [0.0000, 11.0429, 0.0000], [0.0000, 0.0000, 7.6479]], "species": ["Sr", "Sr", "Sn", "Sn", "Bi", "Bi", "Bi", "Bi", "Pb", "Pb", "Pb", "Pb"], "fractional_positions": [[0.0000, 0.0740, 0.0000], [0.0000, 0.9260, 0.5000], [0.5000, 0.1588, 0.6961], [0.5000, 0.8412, 0.1961], [0.0000, 0.3472, 0.7416], [0.0000, 0.6528, 0.2416], [0.5000, 0.1253, 0.3058], [0.5000, 0.8747, 0.8058], [0.0000, 0.3487, 0.3118], [0.0000, 0.6513, 0.8118], [0.5000, 0.4706, 0.0334], [0.5000, 0.5294, 0.5334]]}

---

(7)
{"formula": "SrSnBiPb2", "functional": "PBE", "state": "optimized geometry", "space_group": "No. 63", "m_tot_mub_per_cell": 0.00, "total_energy_ev_per_atom": -3.643, "formation_energy_ev_per_atom": -0.25, "volume_a3_per_cell": 354.0, "cell": [[3.4264, -7.6780, 0.0000], [3.4264, 7.6780, 0.0000], [0.0000, 0.0000, 6.7272]], "species": ["Sr", "Sr", "Sn", "Sn", "Bi", "Bi", "Pb", "Pb", "Pb", "Pb"], "fractional_positions": [[0.2437, 0.7563, 0.7500], [0.7563, 0.2437, 0.2500], [0.1363, 0.8637, 0.2500], [0.8637, 0.1363, 0.7500], [0.3314, 0.6686, 0.2500], [0.6686, 0.3314, 0.7500], [0.2543, 0.2543, 0.0000], [0.2543, 0.2543, 0.5000], [0.7457, 0.7457, 0.0000], [0.7457, 0.7457, 0.5000]]}

---

(8)
{"formula": "Sn2BiTe6Pb3", "functional": "PBE", "state": "optimized geometry", "e_form_raw_ev_per_fu": -3.4, "space_group": "No. 12", "m_tot_mub_per_cell": 0.00, "total_energy_ev_per_atom": -3.774, "volume_a3_per_cell": 410.8, "cell": [[10.1326, -2.2507, 0.0000], [10.1326, 2.2507, 0.0000], [-2.6367, 0.0000, 9.0064]], "species": ["Sn", "Sn", "Bi", "Te", "Te", "Te", "Te", "Te", "Te", "Pb", "Pb", "Pb"], "fractional_positions": [[0.1682, 0.1682, 0.3350], [0.8318, 0.8318, 0.6650], [0.5000, 0.5000, 0.0000], [0.0008, 0.0008, 0.2452], [0.3311, 0.3311, 0.4259], [0.3357, 0.3357, 0.9175], [0.6643, 0.6643, 0.0825], [0.6689, 0.6689, 0.5741], [0.9992, 0.9992, 0.7548], [0.1671, 0.1671, 0.8336], [0.5000, 0.5000, 0.5000], [0.8329, 0.8329, 0.1664]]}

---

Number 1: calculated density 10.24 Mg/m³. Number 2: calculated density 9.88 Mg/m³. Number 3: calculated density 9.36 Mg/m³. Number 4: calculated density 8.32 Mg/m³. Number 5: calculated density 6.72 Mg/m³. Number 6: calculated density 8.37 Mg/m³. Number 7: calculated density 7.78 Mg/m³. Number 8: calculated density 7.41 Mg/m³.